# 1
An optimized crystal structure of Mn3SbH. Source: Alexandria, functional PBE.

a b c (Å): 4.5374 4.5374 7.9721
angles (deg): 103.21 103.21 47.95
Closest atoms and distances in Å follow each position.
Atoms (fractional coordinates):
Mn 0.0000 0.0000 0.0000  2 H 1.68-1.80
Mn 0.0450 0.0450 0.7163  1 H 1.76
Mn 0.3177 0.3177 0.1265  3 H 1.73-1.87
Mn 0.3688 0.3688 0.8324  1 H 1.83
Mn 0.6837 0.6837 0.8912  3 H 1.86-1.89
Mn 0.7398 0.7398 0.6202  4 Mn 2.32-2.55
Sb 0.4079 0.4079 0.4928  7 Mn 2.62-2.83
Sb 0.6352 0.6352 0.2440  1 H 2.30, 1 Mn 2.56
H 0.1859 0.1859 0.9213  6 Mn 1.73-1.86
H 0.8468 0.8468 0.1041  3 Mn 1.68-1.87

Computed properties:
SG: Cm, No. 8
Polymorph energy (0 for the lowest one) in eV/atom: 0.123
Final energy in eV/atom: -6.864
DOS at the Fermi energy in states/eV per cell: 9.55

***

# 2
An optimized crystal structure of Mn3SbH. Source: Alexandria, functional PBE.

a b c (Å): 7.0760 7.0760 7.0760
angles (deg): 60.00 60.00 60.00
Closest atoms and distances in Å follow each position.
Atoms (fractional coordinates):
Mn 0.0518 0.0518 0.6982  2 H 1.84
Mn 0.0518 0.6982 0.0518  2 H 1.84
Mn 0.0518 0.6982 0.6982  2 H 1.84
Mn 0.3018 0.3018 0.9482  2 H 1.84
Mn 0.3018 0.9482 0.3018  2 H 1.84
Mn 0.3018 0.9482 0.9482  2 H 1.84
Mn 0.6982 0.0518 0.0518  2 H 1.84
Mn 0.6982 0.0518 0.6982  2 H 1.84
Mn 0.6982 0.6982 0.0518  2 H 1.84
Mn 0.9482 0.3018 0.3018  2 H 1.84
Mn 0.9482 0.3018 0.9482  2 H 1.84
Mn 0.9482 0.9482 0.3018  2 H 1.84
Sb 0.0000 0.5000 0.5000  6 Mn 2.66
Sb 0.5000 0.0000 0.5000  6 Mn 2.66
Sb 0.5000 0.5000 0.0000  6 Mn 2.66
Sb 0.5000 0.5000 0.5000  6 Mn 2.66
H 0.0000 0.0000 0.0000  6 Mn 1.84
H 0.0000 0.0000 0.5000  6 Mn 1.84
H 0.0000 0.5000 0.0000  6 Mn 1.84
H 0.5000 0.0000 0.0000  6 Mn 1.84

Computed properties:
SG: Fd-3m, No. 227
Polymorph energy (0 for the lowest one) in eV/atom: 0.174
Final energy in eV/atom: -6.813
DOS at the Fermi energy in states/eV per cell: 8.37

***

# 3
An optimized crystal structure of Mn3SbH. Source: Alexandria, functional PBE.

a b c (Å): 3.7778 4.5716 7.8256
angles (deg): 103.36 90.09 114.18
Closest atoms and distances in Å follow each position.
Atoms (fractional coordinates):
Mn 0.0000 0.0000 0.0000  2 H 1.89-1.96
Mn 0.0232 0.0807 0.7099  1 H 1.67
Mn 0.3756 0.7755 0.7826  2 H 1.66-1.83
Mn 0.4308 0.8586 0.5003  4 Mn 2.32-2.58
Mn 0.7117 0.3925 0.8934  2 H 1.66-1.67
Mn 0.7676 0.4981 0.5970  1 H 1.67
Sb 0.1075 0.1983 0.3782  7 Mn 2.61-2.86, 1 H 2.87
Sb 0.3303 0.6436 0.1261  1 H 2.32
H 0.4346 0.4254 0.7408  4 Mn 1.66-1.67
H 0.5523 0.0856 0.9956  2 Mn 1.67-1.83

Computed properties:
SG: P1, No. 1
Polymorph energy (0 for the lowest one) in eV/atom: 0.152
Final energy in eV/atom: -6.835
DOS at the Fermi energy in states/eV per cell: 9.47

***

# 4
An optimized crystal structure of Mn3SbH. Source: Alexandria, functional PBE.

a b c (Å): 3.0591 3.0591 16.6715
angles (deg): 90.00 90.00 120.00
Closest atoms and distances in Å follow each position.
Atoms (fractional coordinates):
Mn 0.0000 0.0000 0.2500  3 H 1.77
Mn 0.0000 0.0000 0.7500  3 H 1.77
Mn 0.3333 0.6667 0.1365  1 H 1.89
Mn 0.3333 0.6667 0.3635  1 H 1.89
Mn 0.6667 0.3333 0.6365  1 H 1.89
Mn 0.6667 0.3333 0.8635  1 H 1.89
Sb 0.0000 0.0000 0.0000  6 Mn 2.88, 6 Sb 3.06
Sb 0.0000 0.0000 0.5000  6 Mn 2.88, 6 Sb 3.06
H 0.3333 0.6667 0.2500  5 Mn 1.77-1.89
H 0.6667 0.3333 0.7500  5 Mn 1.77-1.89

Computed properties:
SG: P6_3/mmc, No. 194
Polymorph energy (0 for the lowest one) in eV/atom: 0.385
Final energy in eV/atom: -6.602
DOS at the Fermi energy in states/eV per cell: 5.97